[1]
Density functional theory data (PBE-GGA) for a relaxed Fe4Ir5Os crystal.

a b c (Å): 2.7009 2.7009 18.4307
angles (deg): 90.00 90.00 90.00
Sites, in units of the cell vectors:
1 Fe 0.0000 0.0000 0.0979
2 Fe 0.0000 0.0000 0.2942
3 Fe 0.0000 0.0000 0.7058
4 Fe 0.0000 0.0000 0.9021
5 Ir 0.5000 0.5000 0.0000
6 Ir 0.5000 0.5000 0.1956
7 Ir 0.5000 0.5000 0.3961
8 Ir 0.5000 0.5000 0.6039
9 Ir 0.5000 0.5000 0.8044
10 Os 0.0000 0.0000 0.5000



[2]
Density functional theory data (PBE-GGA) for a relaxed FeIr2Os crystal.

a b c (Å): 8.8082 8.8082 8.8082
angles (deg): 17.85 17.85 17.85
Sites, in units of the cell vectors:
1 Fe 0.0000 0.0000 0.0000
2 Ir 0.2516 0.2516 0.2516
3 Ir 0.7484 0.7484 0.7484
4 Os 0.5000 0.5000 0.5000

Calculated values
For the relative energy among the computed polymorphs, the calculation gives 70 meV/atom.



[3]
Density functional theory data (PBE-GGA) for a relaxed FeIrOs2 crystal.

a b c (Å): 6.8064 6.8064 6.8064
angles (deg): 134.94 134.94 65.62
Sites, in units of the cell vectors:
1 Fe 0.0000 0.0000 0.0000
2 Fe 0.7500 0.2500 0.5000
3 Ir 0.2500 0.7500 0.5000
4 Ir 0.5000 0.5000 0.0000
5 Os 0.0990 0.6250 0.9740
6 Os 0.3750 0.3490 0.4740
7 Os 0.6510 0.1250 0.0260
8 Os 0.8750 0.9010 0.5260

Calculated values
For the relative energy among the computed polymorphs, the calculation gives 1170 meV/atom.



[4]
Density functional theory data (PBE-GGA) for a relaxed FeIrOs2 crystal.

a b c (Å): 2.7178 3.7810 5.3712
angles (deg): 90.00 90.00 90.00
Sites, in units of the cell vectors:
1 Fe 0.0000 0.0000 0.0000
2 Ir 0.5000 0.5000 0.2417
3 Os 0.0000 0.0000 0.5114
4 Os 0.5000 0.5000 0.7529

Calculated values
For the relative energy among the computed polymorphs, the calculation gives 30 meV/atom.



[5]
Density functional theory data (PBE-GGA) for a relaxed FeIr2Os crystal.

a b c (Å): 4.6621 4.6621 2.7172
angles (deg): 90.00 90.00 109.14
Sites, in units of the cell vectors:
1 Fe 0.0000 0.0000 0.0000
2 Ir 0.0000 0.5000 0.5000
3 Ir 0.5000 0.0000 0.5000
4 Os 0.5000 0.5000 0.0000

Calculated values
For the relative energy among the computed polymorphs, the calculation gives 60 meV/atom.



[6]
Density functional theory data (PBE-GGA) for a relaxed Fe2Ir9Os crystal.

a b c (Å): 3.8439 3.8439 11.5317
angles (deg): 90.00 90.00 90.00
Sites, in units of the cell vectors:
1 Fe 0.0000 0.0000 0.1637
2 Fe 0.0000 0.0000 0.8363
3 Ir 0.0000 0.5000 0.0000
4 Ir 0.0000 0.5000 0.3330
5 Ir 0.0000 0.5000 0.6670
6 Ir 0.5000 0.0000 0.0000
7 Ir 0.5000 0.0000 0.3330
8 Ir 0.5000 0.0000 0.6670
9 Ir 0.5000 0.5000 0.1669
10 Ir 0.5000 0.5000 0.5000
11 Ir 0.5000 0.5000 0.8331
12 Os 0.0000 0.0000 0.5000



[7]
Density functional theory data (PBE-GGA) for a relaxed FeIr2Os crystal.

a b c (Å): 2.7237 3.7813 5.3861
angles (deg): 90.00 90.00 90.00
Sites, in units of the cell vectors:
1 Fe 0.0000 0.0000 0.0000
2 Ir 0.5000 0.5000 0.2465
3 Ir 0.5000 0.5000 0.7535
4 Os 0.0000 0.0000 0.5000

Calculated values
For the relative energy among the computed polymorphs, the calculation gives 12 meV/atom.



[8]
Density functional theory data (PBE-GGA) for a relaxed FeIrOs2 crystal.

a b c (Å): 4.6479 4.6479 4.6479
angles (deg): 132.20 132.20 69.91
Sites, in units of the cell vectors:
1 Fe 0.0000 0.0000 0.0000
2 Ir 0.5000 0.5000 0.0000
3 Os 0.2500 0.7500 0.5000
4 Os 0.7500 0.2500 0.5000

Calculated values
For the relative energy among the computed polymorphs, the calculation gives 67 meV/atom.



no.,calculated formation energy (meV per atom),magnetization (μB/cell)
1,-26,9.57
2,43,2.86
3,1204,0.00
4,64,2.20
5,33,2.69
6,-25,6.32
7,-15,2.43
8,101,0.00